No. 1
This record from the Open Quantum Materials Database describes a relaxed structure of NbFe8Re3. The functional is PBE.

Cell lengths 4.6333, 4.6333, 7.7175 Å; angles 90.00, 90.00, 120.00 degrees
Last column: nearest neighbours and their distance in Å.
Space group P3m1 (No. 156)
Inequivalent atoms, fractional coordinates:
Nb 0.0000 0.0000 0.0000  12 Fe 2.72-2.79, 4 Re 2.88-2.90
Fe 0.1633 0.3266 0.6816  6 Fe 2.27-2.36
Fe 0.3333 0.6667 0.4322  6 Fe 2.35-2.36
Fe 0.3333 0.6667 0.9316  6 Fe 2.36-2.38
Fe 0.5035 0.0071 0.1848  6 Fe 2.27-2.38
Re 0.0000 0.0000 0.3734  12 Fe 2.71-2.74, 3 Re 2.84, 1 Nb 2.88
Re 0.6667 0.3333 0.4966  12 Fe 2.72-2.74, 4 Re 2.75-2.84
Re 0.6667 0.3333 0.8534  12 Fe 2.67-2.87, 1 Re 2.75, 3 Nb 2.90

Output
- Calculated density: 12.7 g/cm³
- Total magnetization: 6.21 μB per formula unit
- Energy of formation: -49.1 meV per atom
- Volume: 143.5 Å³/cell



No. 2
This record from the Open Quantum Materials Database describes a relaxed structure of ErTmZn6. The functional is PBE.

Cell lengths 4.6302, 4.6302, 6.5593 Å; angles 90.00, 90.00, 90.00 degrees
Last column: nearest neighbours and their distance in Å.
Space group P4/mmm (No. 123)
Inequivalent atoms, fractional coordinates:
Er 0.0000 0.0000 0.0000  8 Zn 2.84
Tm 0.5000 0.5000 0.5000  8 Zn 2.83
Zn 0.0000 0.0000 0.5000  8 Zn 2.83
Zn 0.0000 0.5000 0.2508  2 Tm 2.83, 4 Zn 2.83-2.84, 2 Er 2.84
Zn 0.5000 0.5000 0.0000  8 Zn 2.84

Output
- Calculated density: 8.6 g/cm³
- Total magnetization: 0.00 μB per formula unit
- Energy of formation: -283.7 meV per atom
- Volume: 140.6 Å³/cell



No. 3
This record from the Open Quantum Materials Database describes a relaxed structure of MgOs. The functional is PBE.

Cell lengths 5.5513, 5.5513, 4.6113 Å; angles 90.00, 90.00, 120.00 degrees
Last column: nearest neighbours and their distance in Å.
Space group P-6m2 (No. 187)
Inequivalent atoms, fractional coordinates:
Mg 0.0000 0.0000 0.0000  6 Os 2.78, 6 Mg 2.82
Mg 0.1696 0.3392 0.5000  6 Mg 2.73-2.82, 6 Os 2.78-2.79
Os 0.0045 0.5023 0.0000  6 Os 2.74-2.82, 6 Mg 2.78-2.79
Os 0.6667 0.3333 0.5000  6 Mg 2.78, 6 Os 2.82

Output
- Calculated density: 11.6 g/cm³
- VASP energy: -48.87 eV for the cell shown
- Total magnetization: 0.00 μB per formula unit
- Volume: 123.1 Å³/cell



No. 4
This record from the Open Quantum Materials Database describes a relaxed structure of Ho3Mg3TlCd2. The functional is PBE.

Cell lengths 7.4419, 7.4419, 4.6993 Å; angles 90.00, 90.00, 120.00 degrees
Last column: nearest neighbours and their distance in Å.
Space group P-62m (No. 189)
Inequivalent atoms, fractional coordinates:
Ho 0.0000 0.4287 0.0000  1 Tl 3.19, 4 Cd 3.23, 2 Mg 3.38
Mg 0.0000 0.7560 0.5000  2 Cd 2.87, 2 Tl 2.97, 2 Mg 3.14
Tl 0.0000 0.0000 0.0000  6 Mg 2.97, 3 Ho 3.19
Cd 0.3333 0.6667 0.5000  3 Mg 2.87

Output
- Calculated density: 7.3 g/cm³
- VASP energy: -24.74 eV for the cell shown
- Total magnetization: 0.02 μB per formula unit
- Volume: 225.4 Å³/cell



No. 5
This record from the Open Quantum Materials Database describes a relaxed structure of Zr2InPd2. The functional is PBE.

Cell lengths 7.6752, 7.6752, 6.9843 Å; angles 90.00, 90.00, 90.00 degrees
Last column: nearest neighbours and their distance in Å.
Space group P4_2/mnm (No. 136)
Inequivalent atoms, fractional coordinates:
Zr 0.1549 0.1549 0.0000  6 Pd 2.80-2.94
Zr 0.1861 0.1861 0.5000  6 Pd 2.81-2.89
In 0.0000 0.5000 0.2500  4 Pd 3.02, 4 Zr 3.30
Pd 0.1290 0.8710 0.2815  6 Zr 2.80-2.94, 2 Pd 2.80-3.05, 2 In 3.02

Output
- Calculated density: 8.2 g/cm³
- VASP energy: -133.72 eV for the cell shown
- Total magnetization: 0.00 μB per formula unit
- Volume: 411.4 Å³/cell



No. 6
This record from the Open Quantum Materials Database describes a relaxed structure of BaSrZn2SiSn. The functional is PBE.

Cell lengths 4.5225, 4.5225, 9.4836 Å; angles 90.00, 90.00, 120.00 degrees
Last column: nearest neighbours and their distance in Å.
Space group P3m1 (No. 156)
Inequivalent atoms, fractional coordinates:
Ba 0.0000 0.0000 0.0000  3 Si 3.52, 6 Zn 3.54-3.70, 3 Sn 3.68
Sr 0.0000 0.0000 0.5232  6 Zn 3.37-3.51, 3 Si 3.39, 3 Sn 3.53
Zn 0.3333 0.6667 0.2759  3 Sn 2.61
Zn 0.6667 0.3333 0.7479  3 Si 2.61
Si 0.3333 0.6667 0.7512  3 Zn 2.61
Sn 0.6667 0.3333 0.2732  3 Zn 2.61

Output
- Calculated density: 5.0 g/cm³
- VASP energy: -18.22 eV for the cell shown
- Volume: 168.0 Å³/cell